Here is crystalline SmPaCo2 at its relaxed geometry from the Alexandria database. Energies are from PBE.

```
4
Lattice="3.3493 0.0000 0.0000 0.0000 3.3493 0.0000 0.0000 0.0000 6.8769" Properties=species:S:1:pos:R:3 pbc="T T T"
Sm 0.0000 0.0000 0.0000
Pa 0.0000 0.0000 3.4385
Co 1.6747 1.6747 2.1043
Co 1.6747 1.6747 4.7726
```

Results
The polymorph energy (0 for the lowest one) is 121 meV per atom. Its crystal system is tetragonal. Its total magnetization is 0.000 μB per cell. As for the formation energy: -218.9 meV per atom.